(A)
Here is a geometry-optimized MgNbFeAs structure from the Open Quantum Materials Database. Energies are from PBE.

```
4
Lattice="0.000 3.138 3.138 3.138 0.000 3.138 3.138 3.138 0.000" Properties=species:S:1:pos:R:3 pbc="T T T"
Mg 0.000 0.000 0.000
Nb 4.707 4.707 4.707
Fe 3.138 3.138 3.138
As 1.569 1.569 1.569
```

Summary:
Magnetic moment = 0.08 μB/atom

(B)
Here is a geometry-optimized MgNbFeAs structure from the Open Quantum Materials Database. Energies are from PBE.

```
4
Lattice="0.000 3.133 3.133 3.133 0.000 3.133 3.133 3.133 0.000" Properties=species:S:1:pos:R:3 pbc="T T T"
Mg 0.000 0.000 0.000
Nb 1.566 1.566 1.566
Fe 4.699 4.699 4.699
As 3.133 3.133 3.133
```

Summary:
Magnetic moment = 0.62 μB/atom

Which is the most stable structure? (B) is the most stable.

(A)
Here is a geometry-optimized SrPdNO structure from the Open Quantum Materials Database. Energies are from PBE.

```
16
Lattice="6.689 0.000 0.000 0.000 7.335 0.000 0.000 0.000 5.160" Properties=species:S:1:pos:R:3 pbc="T T T"
Sr 0.503 1.225 0.000
Sr 2.842 1.225 2.580
Sr 3.847 6.111 0.000
Sr 6.186 6.111 2.580
Pd 0.879 4.565 0.066
Pd 2.466 4.565 2.646
Pd 4.223 2.771 0.066
Pd 5.810 2.771 2.646
N 0.765 3.914 3.336
N 2.580 3.914 0.755
N 4.109 3.421 3.336
N 5.924 3.421 0.755
O 0.421 1.021 2.550
O 2.923 1.021 5.130
O 3.766 6.314 2.550
O 6.268 6.314 5.130
```

(B)
Here is a geometry-optimized SrPdNO structure from the Open Quantum Materials Database. Energies are from PBE.

```
8
Lattice="3.975 0.000 0.000 0.000 5.415 0.000 0.000 0.000 5.902" Properties=species:S:1:pos:R:3 pbc="T T T"
Sr 0.000 1.190 0.000
Sr 0.000 4.225 2.951
Pd 1.987 1.348 3.122
Pd 1.987 4.067 0.171
N 1.987 0.207 1.499
N 1.987 5.208 4.450
O 0.000 1.832 3.396
O 0.000 3.583 0.445
```

Which is the most stable structure? (A) is the most stable.

(A)
Here is a geometry-optimized Cu4Ag structure from the Open Quantum Materials Database. Energies are from PBE.

```
10
Lattice="4.185 -1.861 0.000 4.185 1.861 0.000 -0.034 0.000 8.357" Properties=species:S:1:pos:R:3 pbc="T T T"
Cu 0.000 0.000 0.000
Cu 0.816 0.000 5.779
Cu 1.703 0.000 3.405
Cu 2.513 0.000 0.844
Cu 4.168 0.000 4.178
Cu 5.823 0.000 7.513
Cu 6.633 0.000 4.952
Cu 7.520 0.000 2.578
Ag 3.316 0.000 6.666
Ag 5.020 0.000 1.691
```

(B)
Here is a geometry-optimized Cu4Ag structure from the Open Quantum Materials Database. Energies are from PBE.

```
10
Lattice="5.590 -1.345 0.000 5.590 1.345 0.000 -1.567 0.000 8.674" Properties=species:S:1:pos:R:3 pbc="T T T"
Cu 0.351 0.000 1.197
Cu 1.088 0.000 3.833
Cu 1.717 0.000 6.596
Cu 3.801 0.000 0.414
Cu 5.812 0.000 8.260
Cu 7.896 0.000 2.078
Cu 8.525 0.000 4.841
Cu 9.262 0.000 7.477
Ag 4.449 0.000 2.992
Ag 5.164 0.000 5.682
```

Which is the most stable structure? (B) is the most stable.

(A)
Here is a geometry-optimized MgHgTeO structure from the Open Quantum Materials Database. Energies are from PBE.

```
8
Lattice="4.258 0.000 0.000 0.000 4.258 0.000 0.000 0.000 10.682" Properties=species:S:1:pos:R:3 pbc="T T T"
Mg 1.065 1.065 1.333
Mg 3.194 3.194 9.349
Hg 1.065 1.065 6.152
Hg 3.194 3.194 4.530
Te 1.065 1.065 9.108
Te 3.194 3.194 1.574
O 1.065 3.194 5.341
O 3.194 1.065 5.341
```

(B)
Here is a geometry-optimized MgHgTeO structure from the Open Quantum Materials Database. Energies are from PBE.

```
16
Lattice="6.091 0.000 0.000 0.000 4.075 0.000 0.000 0.000 14.251" Properties=species:S:1:pos:R:3 pbc="T T T"
Mg 0.585 1.019 2.750
Mg 2.460 3.056 9.875
Mg 3.631 1.019 4.376
Mg 5.506 3.056 11.502
Hg 1.037 3.056 5.483
Hg 2.009 1.019 12.609
Hg 4.082 3.056 1.642
Hg 5.054 1.019 8.768
Te 1.408 3.056 0.926
Te 1.637 1.019 8.052
Te 4.454 3.056 6.200
Te 4.683 1.019 13.325
O 1.335 3.056 11.438
O 1.711 1.019 4.312
O 4.380 3.056 9.939
O 4.756 1.019 2.813
```

Which is the most stable structure? (B) is the most stable.

(A)
Here is a geometry-optimized AcPaAsO structure from the Open Quantum Materials Database. Energies are from PBE.

```
8
Lattice="4.345 0.000 0.000 0.000 4.345 0.000 0.000 0.000 10.098" Properties=species:S:1:pos:R:3 pbc="T T T"
Ac 1.086 1.086 1.217
Ac 3.258 3.258 8.880
Pa 1.086 3.258 5.049
Pa 3.258 1.086 5.049
As 1.086 1.086 7.114
As 3.258 3.258 2.984
O 1.086 3.258 0.000
O 3.258 1.086 0.000
```

Summary:
Magnetic moment = 0.12 μB/atom

(B)
Here is a geometry-optimized AcPaAsO structure from the Open Quantum Materials Database. Energies are from PBE.

```
8
Lattice="4.390 0.000 0.000 0.000 8.113 0.000 0.000 0.000 6.420" Properties=species:S:1:pos:R:3 pbc="T T T"
Ac 0.000 1.694 0.000
Ac 0.000 6.419 3.210
Pa 2.195 3.226 3.441
Pa 2.195 4.887 0.231
As 0.000 1.355 3.241
As 0.000 6.758 0.031
O 2.195 2.757 5.787
O 2.195 5.356 2.577
```

Summary:
Magnetic moment = 0.36 μB/atom

Which is the most stable structure? (A) is the most stable.

(A)
Here is a geometry-optimized Pd structure from the Open Quantum Materials Database. Energies are from PBE.

```
1
Lattice="1.422 0.821 2.146 -1.422 0.821 2.146 0.000 -1.642 2.146" Properties=species:S:1:pos:R:3 pbc="T T T"
Pd 0.000 0.000 0.000
```

(B)
Here is a geometry-optimized Pd structure from the Open Quantum Materials Database. Energies are from PBE.

```
30
Lattice="3.899 0.000 0.000 0.000 3.900 0.000 0.000 0.000 43.829" Properties=species:S:1:pos:R:3 pbc="T T T"
Pd 0.975 0.000 0.987
Pd 0.975 0.000 4.940
Pd 0.975 0.000 8.907
Pd 0.975 0.000 12.891
Pd 0.975 0.000 29.127
Pd 0.975 0.000 32.903
Pd 0.975 0.000 36.909
Pd 0.975 0.000 40.868
Pd 0.975 1.950 2.962
Pd 0.975 1.950 6.924
Pd 0.975 1.950 10.879
Pd 0.975 1.950 30.938
Pd 0.975 1.950 34.922
Pd 0.975 1.950 38.891
Pd 0.975 1.950 42.842
Pd 2.924 0.000 2.961
Pd 2.924 0.000 6.920
Pd 2.924 0.000 10.926
Pd 2.924 0.000 14.702
Pd 2.924 0.000 30.938
Pd 2.924 0.000 34.922
Pd 2.924 0.000 38.890
Pd 2.924 0.000 42.843
Pd 2.924 1.950 0.988
Pd 2.924 1.950 4.938
Pd 2.924 1.950 8.908
Pd 2.924 1.950 12.891
Pd 2.924 1.950 32.950
Pd 2.924 1.950 36.905
Pd 2.924 1.950 40.867
```

(C)
Here is a geometry-optimized Pd structure from the Open Quantum Materials Database. Energies are from PBE.

```
16
Lattice="2.744 0.000 0.000 0.000 2.744 0.000 0.000 0.000 43.614" Properties=species:S:1:pos:R:3 pbc="T T T"
Pd 0.686 0.686 0.987
Pd 0.686 0.686 4.936
Pd 0.686 0.686 8.924
Pd 0.686 0.686 12.943
Pd 0.686 0.686 28.675
Pd 0.686 0.686 32.690
Pd 0.686 0.686 36.688
Pd 0.686 0.686 40.651
Pd 2.058 2.058 2.963
Pd 2.058 2.058 6.926
Pd 2.058 2.058 10.924
Pd 2.058 2.058 14.938
Pd 2.058 2.058 30.671
Pd 2.058 2.058 34.689
Pd 2.058 2.058 38.678
Pd 2.058 2.058 42.627
```

Which is the most stable structure? (A) is the most stable.